Entry 1:
An optimized crystal structure of La6Ag5Rh, computed with PBE.

abc: 5.3235 7.6012 8.4226
angles: 90.00 108.13 90.00
Space group P2/m (No. 10)
Unique sites:
La (0.0000, 0.2321, 0.0000) x2
La (0.3470, 0.2418, 0.6897) x4
Ag (0.1687, 0.5000, 0.3435) x2
Ag (0.1784, 0.0000, 0.3633) x2
Ag (0.5000, 0.5000, 0.0000) x1
Rh (0.5000, 0.0000, 0.0000) x1

Values from the calculation:
**E_form**: -4.0 eV per formula unit
**Electronic total energy**: -4.60 eV per atom

Entry 2:
An optimized crystal structure of TmTlHg6, computed with PBE.

abc: 4.6558 4.6558 9.3489
angles: 90.00 90.00 90.00
Space group P4/mmm (No. 123)
Unique sites:
Tm (0.0000, 0.0000, 0.0000) x1
Tl (0.0000, 0.0000, 0.5000) x1
Hg (0.0000, 0.5000, 0.2389) x4
Hg (0.5000, 0.5000, 0.0000) x1
Hg (0.5000, 0.5000, 0.5000) x1

Values from the calculation:
**E_form**: -1.0 eV per formula unit
**Electronic total energy**: -1.21 eV per atom
**E above lowest polymorph**: 0 meV/atom

Entry 3:
An optimized crystal structure of Th4As2PdSe, computed with PBE.

abc: 7.3778 4.1590 7.4423
angles: 90.00 109.24 90.00
Space group P2/m (No. 10)
Unique sites:
Th (0.2414, 0.0000, 0.2452) x2
Th (0.2474, 0.5000, 0.7447) x2
As (0.0000, 0.0000, 0.5000) x1
As (0.5000, 0.5000, 0.5000) x1
Pd (0.0000, 0.5000, 0.0000) x1
Se (0.5000, 0.0000, 0.0000) x1

Values from the calculation:
**Electronic total energy**: -7.20 eV per atom
**Formation energy (no corrections)**: -1.242 eV per atom

Entry 4:
An optimized crystal structure of Mo8Ru, computed with PBE.

abc: 9.4539 9.4539 3.1578
angles: 90.00 90.00 90.00
Space group I4/mmm (No. 139)
Unique sites:
Mo (0.0000, 0.3312, 0.0000) x8
Mo (0.1681, 0.1681, 0.5000) x8
Ru (0.0000, 0.0000, 0.0000) x2

Values from the calculation:
**E_form**: 0.5 eV per formula unit
**Electronic total energy**: -10.61 eV per atom

Entry 5:
An optimized crystal structure of IrPd3Cl, computed with PBE.

abc: 4.8717 4.8717 4.8717
angles: 90.00 90.00 90.00
Space group Pm-3m (No. 221)
Unique sites:
Ir (0.0000, 0.0000, 0.0000) x1
Pd (0.0000, 0.0000, 0.5000) x3
Cl (0.5000, 0.5000, 0.5000) x1

Values from the calculation:
**Electronic total energy**: -4.21 eV per atom
**Formation energy (no corrections)**: 1.043 eV per atom
**E above lowest polymorph**: 68 meV/atom

Entry 6:
An optimized crystal structure of La2NdPb, computed with PBE.

abc: 5.0056 5.0056 5.1321
angles: 90.00 90.00 90.00
Space group P4/mmm (No. 123)
Unique sites:
La (0.0000, 0.5000, 0.0000) x2
Nd (0.0000, 0.0000, 0.5000) x1
Pb (0.5000, 0.5000, 0.5000) x1

Values from the calculation:
**E_form**: -1.5 eV per formula unit
**Electronic total energy**: -4.96 eV per atom
**E above lowest polymorph**: 0 meV/atom

Q: What is the formula in the first record?
A: La6Ag5Rh

Repeat the fourth record exactly.
An optimized crystal structure of Mo8Ru, computed with PBE.

abc: 9.4539 9.4539 3.1578
angles: 90.00 90.00 90.00
Space group I4/mmm (No. 139)
Unique sites:
Mo (0.0000, 0.3312, 0.0000) x8
Mo (0.1681, 0.1681, 0.5000) x8
Ru (0.0000, 0.0000, 0.0000) x2

Values from the calculation:
**E_form**: 0.5 eV per formula unit
**Electronic total energy**: -10.61 eV per atom

What did the fourth record say?
An optimized crystal structure of Mo8Ru, computed with PBE.

abc: 9.4539 9.4539 3.1578
angles: 90.00 90.00 90.00
Space group I4/mmm (No. 139)
Unique sites:
Mo (0.0000, 0.3312, 0.0000) x8
Mo (0.1681, 0.1681, 0.5000) x8
Ru (0.0000, 0.0000, 0.0000) x2

Values from the calculation:
**E_form**: 0.5 eV per formula unit
**Electronic total energy**: -10.61 eV per atom

Q: Which value of electronic total energy does entry 2 give?
A: -1.21 eV per atom